Entry 1:
{
  "formula": "AcInAgGe",
  "functional": "PBE",
  "state": "relaxed",
  "cell": [[-0.7792, -3.8669, 3.4900], [2.0535, -4.7738, -0.8567], [4.0001, -1.7168, 2.9650]],
  "species": ["Ag", "Ac", "In", "Ge"],
  "fractional_positions": [[0.7500, 0.7500, 0.7500], [0.0000, 0.0000, 0.0000], [0.5000, 0.5000, 0.5000], [0.2500, 0.2500, 0.2500]],
  "magmom_total_mub_per_cell": 0.0,
  "delta_e_f_kj_per_mol_atoms": -25.8
}

Entry 2:
{
  "formula": "Ce2Bi",
  "functional": "PBE",
  "state": "relaxed",
  "cell": [[4.6835, 0.0000, -1.0314], [0.0000, 4.5010, 0.0000], [-0.5888, 0.0000, 8.4754]],
  "species": ["Ce", "Bi", "Ce", "Bi", "Ce", "Ce"],
  "fractional_positions": [[0.5000, 0.5000, 0.0000], [0.3491, 0.0000, 0.6982], [0.0000, 0.0000, 0.0000], [0.6509, 0.0000, 0.3018], [0.1761, 0.5000, 0.3523], [0.8239, 0.5000, 0.6477]],
  "magmom_total_mub_per_cell": 3.8,
  "delta_e_f_kj_per_mol_atoms": -49.0
}